Computed, not measured: an optimized crystal structure of Sc2PHAu at the PBE level of DFT.

The calculation puts the uncorrected energy at -4.353 eV per atom.

It has space group P4/mmm (No. 123), with a = 5.255 Å, b = 5.255 Å, c = 4.549 Å, α = 90.00°, β = 90.00° and γ = 90.00°. Symmetry generates all atoms from Sc at (0.000, 0.500, 0.000), P at (0.000, 0.000, 0.500), H at (0.500, 0.500, 0.500) and Au at (0.000, 0.000, 0.000).